## AcTh2Mg9 (PBE)

Data for an optimized crystal structure of AcTh2Mg9.

Energy relative to the elements in meV/atom: -28
Crystal system: trigonal
Calculated total energy in eV/atom: -2.803
Total moment in μB per formula unit: 0.0

a = 10.583 Å, b = 10.583 Å, c = 10.583 Å
α = 33.46°, β = 33.46°, γ = 33.46°
Atoms (fractional coordinates):
Ac  0.000  0.000  0.000
Th  0.148  0.148  0.148
Th  0.852  0.852  0.852
Mg  0.080  0.587  0.587
Mg  0.334  0.334  0.334
Mg  0.413  0.413  0.920
Mg  0.413  0.920  0.413
Mg  0.500  0.500  0.500
Mg  0.587  0.080  0.587
Mg  0.587  0.587  0.080
Mg  0.666  0.666  0.666
Mg  0.920  0.413  0.413